one) {
  "formula": "TcAgOs2",
  "functional": "GGA-PBE",
  "state": "optimized geometry",
  "cell": [[-1.424, 5.079, -2.157], [-0.986, 0.909, -5.539], [-1.183, -2.490, 4.988]],
  "species": ["Tc", "Os", "Ag", "Os"],
  "fractional_positions": [[0.534, 0.534, 0.000], [0.755, 0.255, 0.500], [0.241, 0.741, 0.500], [0.970, 0.970, 0.000]],
  "magmom_total_mub_per_atom": 0.00,
  "rho_g_cm3": 15.25
}

---

two) {
  "formula": "TcAgOs2",
  "functional": "GGA-PBE",
  "state": "optimized geometry",
  "cell": [[5.584, 0.001, 0.001], [2.964, 4.733, -0.001], [-3.647, -3.499, 2.375]],
  "species": ["Ag", "Os", "Os", "Tc"],
  "fractional_positions": [[0.250, 0.750, 0.500], [0.972, 0.972, 0.000], [0.528, 0.528, 0.000], [0.750, 0.250, 0.500]],
  "magmom_total_mub_per_atom": 0.00,
  "rho_g_cm3": 15.52
}

---

Ordering by calculated energy gives the sequence two), one), with the first entry being the most stable.